# ScAl2Fe

A relaxed structure of ScAl2Fe (PBE, Alexandria via LeMat-Bulk).

a = 2.923 Å, b = 4.364 Å, c = 5.064 Å
α = 90.00°, β = 96.03°, γ = 90.00°
Fractional positions:
Sc 0.000 0.000 0.000
Al 0.538 0.000 0.510
Al 0.547 0.500 0.219
Fe 0.172 0.500 0.683

# Sc2Al4Fe

A relaxed structure of Sc2Al4Fe (PBE, Alexandria via LeMat-Bulk).

a = 7.718 Å, b = 7.718 Å, c = 7.718 Å
α = 146.98°, β = 146.98°, γ = 47.40°
Fractional positions:
Sc 0.139 0.139 0.000
Sc 0.861 0.861 0.000
Al 0.000 0.500 0.500
Al 0.335 0.335 0.000
Al 0.500 0.000 0.500
Al 0.665 0.665 0.000
Fe 0.500 0.500 0.000

# Sc2Al8Fe

A relaxed structure of Sc2Al8Fe (PBE, Alexandria via LeMat-Bulk).

a = 4.111 Å, b = 4.111 Å, c = 10.873 Å
α = 90.00°, β = 90.00°, γ = 90.00°
Fractional positions:
Sc 0.000 0.000 0.192
Sc 0.000 0.000 0.808
Al 0.000 0.500 0.000
Al 0.000 0.500 0.380
Al 0.000 0.500 0.620
Al 0.500 0.000 0.000
Al 0.500 0.000 0.380
Al 0.500 0.000 0.620
Al 0.500 0.500 0.190
Al 0.500 0.500 0.810
Fe 0.000 0.000 0.500

# ScAlFe2

A relaxed structure of ScAlFe2 (PBE, Alexandria via LeMat-Bulk).

a = 8.695 Å, b = 8.695 Å, c = 8.695 Å
α = 18.76°, β = 18.76°, γ = 18.76°
Fractional positions:
Sc 0.000 0.000 0.000
Al 0.500 0.500 0.500
Fe 0.245 0.245 0.245
Fe 0.755 0.755 0.755

# ScAlFe2

A relaxed structure of ScAlFe2 (PBE, Alexandria via LeMat-Bulk).

a = 5.120 Å, b = 5.120 Å, c = 5.120 Å
α = 144.99°, β = 131.07°, γ = 61.57°
Fractional positions:
Sc 0.000 0.000 0.000
Al 0.719 0.219 0.500
Fe 0.268 0.768 0.500
Fe 0.477 0.477 0.000

# ScAl2Fe

A relaxed structure of ScAl2Fe (PBE, Alexandria via LeMat-Bulk).

a = 4.966 Å, b = 4.966 Å, c = 2.868 Å
α = 90.00°, β = 90.00°, γ = 112.06°
Fractional positions:
Sc 0.000 0.000 0.000
Al 0.000 0.500 0.500
Al 0.500 0.000 0.500
Fe 0.500 0.500 0.000

| no. | mass density (g/cm³) | E_form (kJ/mol of atoms) |
| --- | --- | --- |
| 1 | 4.00 | -16.2 |
| 2 | 3.10 | -6.9 |
| 3 | 3.27 | -41.0 |
| 4 | 5.13 | 13.3 |
| 5 | 5.31 | -19.2 |
| 6 | 3.92 | -14.3 |